[1]
Compound: Cu2Br3Cl
Source: the Open Quantum Materials Database
Functional: PBE
Structure: relaxed

Structure (POSCAR):
```
Cu2Br3Cl
1.0
7.0076 0.0000 0.0000
0.0000 3.4339 0.0000
-3.3378 0.0000 6.4873
Br Cl Cu
3 1 2
direct
0.7687 0.0000 0.0082
0.7354 0.5000 0.4896
0.2641 0.5000 0.5087
0.2219 0.0000 0.9932
0.0095 0.5000 0.9996
0.5004 0.0000 0.5007
```

## Properties
Relative energy among the computed polymorphs   0 kJ/mol of formula units
Total energy   -2.7097 eV/atom


[2]
Compound: CoCuS2
Source: the Open Quantum Materials Database
Functional: PBE
Structure: relaxed

Structure (POSCAR):
```
CoCuS2
1.0
2.0115 -0.2145 5.8842
-3.7918 3.4167 3.5588
-1.1701 -4.5106 -4.1233
Cu S Co
2 4 2
direct
0.0000 0.0000 0.0000
0.7500 0.2500 0.5000
0.3750 0.3975 0.5225
0.1475 0.6250 0.0225
0.8750 0.8525 0.4775
0.6025 0.1250 0.9775
0.5000 0.5000 0.0000
0.2500 0.7500 0.5000
```

## Properties
Total energy   -5.0324 eV/atom


[3]
Compound: NbBr
Source: the Open Quantum Materials Database
Functional: PBE
Structure: relaxed

Structure (POSCAR):
```
NbBr
1.0
-1.7242 0.2703 2.6708
-0.7259 -2.2455 -2.1471
2.6515 -2.7611 1.9912
Nb Br
1 1
direct
0.3333 0.6667 0.2500
0.6667 0.3333 0.7500
```

## Properties
Total energy   -5.4563 eV/atom